No. 1
A plane-wave DFT calculation with GGA-PBEsol was carried out for a relaxed structure of Tm2Mn17C3.

```
Tm2Mn17C3
1.0
8.177 0.000 0.000
0.000 8.316 0.000
0.000 -4.158 7.202
Mn C Tm
34 6 4
direct
0.473 0.171 0.342 Mn
0.527 0.829 0.171 Mn
0.750 0.609 0.938 Mn
0.750 0.329 0.391 Mn
0.250 0.938 0.329 Mn
0.500 0.500 0.500 Mn
0.027 0.171 0.829 Mn
0.750 0.062 0.391 Mn
0.000 0.500 0.000 Mn
0.250 0.391 0.329 Mn
0.527 0.342 0.171 Mn
0.893 0.333 0.667 Mn
0.250 0.938 0.609 Mn
0.500 0.500 0.000 Mn
0.107 0.667 0.333 Mn
0.750 0.329 0.938 Mn
0.973 0.829 0.171 Mn
0.250 0.391 0.062 Mn
0.250 0.671 0.609 Mn
0.973 0.342 0.171 Mn
0.027 0.658 0.829 Mn
0.607 0.333 0.667 Mn
0.750 0.609 0.671 Mn
0.000 0.500 0.500 Mn
0.250 0.671 0.062 Mn
0.973 0.829 0.658 Mn
0.527 0.829 0.658 Mn
0.000 0.000 0.500 Mn
0.750 0.062 0.671 Mn
0.027 0.171 0.342 Mn
0.393 0.667 0.333 Mn
0.473 0.658 0.829 Mn
0.500 0.000 0.500 Mn
0.473 0.171 0.829 Mn
0.250 0.671 0.836 C
0.250 0.164 0.329 C
0.250 0.164 0.836 C
0.750 0.836 0.671 C
0.750 0.329 0.164 C
0.750 0.836 0.164 C
0.750 0.000 0.000 Tm
0.250 0.000 0.000 Tm
0.250 0.333 0.667 Tm
0.750 0.667 0.333 Tm
```

Computed properties:
The volume is 11.13 Å³ per atom. As for the space-group type: P6_3/mmc. For the formation energy, the calculation gives -0.12 eV/atom. As for the crystal system: hexagonal. The density of states at the Fermi level is 21.9 states/eV/f.u.

---

No. 2
A plane-wave DFT calculation with GGA-PBEsol was carried out for a relaxed structure of CsMnP6O18.

```
CsMnP6O18
1.0
5.029 -0.086 0.393
2.164 7.844 0.229
2.988 0.510 10.087
O Mn Cs P
18 1 1 6
direct
0.640 0.597 0.799 O
0.211 0.613 0.372 O
0.493 0.846 0.651 O
0.586 0.163 0.581 O
0.360 0.403 0.201 O
0.256 0.453 0.786 O
0.742 0.877 0.820 O
0.653 0.290 0.882 O
0.744 0.547 0.214 O
0.103 0.088 0.584 O
0.507 0.154 0.349 O
0.021 0.708 0.605 O
0.979 0.292 0.395 O
0.414 0.837 0.419 O
0.347 0.710 0.118 O
0.897 0.912 0.416 O
0.258 0.123 0.180 O
0.789 0.387 0.628 O
0.500 0.000 0.500 Mn
0.000 0.000 0.000 Cs
0.285 0.228 0.275 P
0.561 0.424 0.785 P
0.439 0.576 0.215 P
0.866 0.224 0.549 P
0.134 0.776 0.451 P
0.715 0.772 0.725 P
```

Computed properties:
The volume is 15.01 Å³ per atom. As for the space-group type: P-1. As for the uncorrected formation energy: -1.958 eV/atom. As for the crystal system: triclinic. The density of states at the Fermi level is 5.4 states/eV/f.u.

---

No. 3
A plane-wave DFT calculation with GGA-PBEsol was carried out for a relaxed structure of Ca3BiCl.

```
Ca3BiCl
1.0
5.232 0.000 0.000
0.000 5.232 0.000
0.000 0.000 5.232
Ca Bi Cl
3 1 1
direct
0.500 0.000 0.000 Ca
0.000 0.000 0.500 Ca
0.000 0.500 0.000 Ca
0.500 0.500 0.500 Bi
0.000 0.000 0.000 Cl
```

Computed properties:
The volume is 28.65 Å³ per atom. As for the space-group type: Pm-3m. As for the uncorrected formation energy: -0.809 eV/atom. As for the crystal system: cubic. The density of states at the Fermi level is 5.2 states/eV/f.u.

---

No. 4
A plane-wave DFT calculation with GGA-PBEsol was carried out for a relaxed structure of Ba3CoN3.

```
Ba3CoN3
1.0
5.569 0.000 0.000
0.000 7.915 0.000
0.000 -3.957 6.855
N Ba Co
6 6 2
direct
0.250 0.316 0.440 N
0.750 0.875 0.316 N
0.750 0.440 0.125 N
0.750 0.684 0.560 N
0.250 0.560 0.875 N
0.250 0.125 0.684 N
0.250 0.723 0.636 Ba
0.250 0.913 0.277 Ba
0.750 0.636 0.913 Ba
0.750 0.087 0.723 Ba
0.750 0.277 0.364 Ba
0.250 0.364 0.087 Ba
0.750 0.667 0.333 Co
0.250 0.333 0.667 Co
```

Computed properties:
The volume is 21.58 Å³ per atom. As for the space-group type: P6_3/m. As for the uncorrected formation energy: -0.529 eV/atom. As for the crystal system: hexagonal. The density of states at the Fermi level is 4.5 states/eV/f.u.

---

No. 5
A plane-wave DFT calculation with GGA-PBEsol was carried out for a relaxed structure of Ba2IrBrF.

```
Ba2IrBrF
1.0
-3.389 3.558 -1.202
-3.891 -4.154 -1.330
-1.923 0.034 5.520
Ba Ir Br F
2 1 1 1
direct
0.000 0.500 0.000 Ba
0.000 0.000 0.500 Ba
0.000 0.000 0.000 Ir
0.500 0.000 0.000 Br
0.500 0.500 0.500 F
```

Computed properties:
The volume is 34.57 Å³ per atom. As for the space-group type: P4/mmm. As for the uncorrected formation energy: -0.871 eV/atom. As for the crystal system: tetragonal. The density of states at the Fermi level is 1.9 states/eV/f.u.

---

No. 6
A plane-wave DFT calculation with GGA-PBEsol was carried out for a relaxed structure of Na21In5O15.

```
Na21In5O15
1.0
-4.562 -7.865 -2.659
9.188 -2.036 2.783
-4.757 4.528 7.292
Na O In
21 15 5
direct
0.286 0.563 0.016 Na
0.286 0.016 0.563 Na
0.006 0.547 0.754 Na
0.006 0.754 0.547 Na
0.508 0.776 0.468 Na
0.418 0.444 0.219 Na
0.975 0.538 0.252 Na
0.508 0.468 0.776 Na
0.554 0.297 0.994 Na
0.546 0.979 0.778 Na
0.546 0.778 0.979 Na
0.201 0.784 0.223 Na
0.721 0.265 0.722 Na
0.246 0.509 0.509 Na
0.975 0.252 0.538 Na
0.830 0.204 0.204 Na
0.697 0.414 0.414 Na
0.418 0.219 0.444 Na
0.721 0.722 0.265 Na
0.554 0.994 0.297 Na
0.201 0.223 0.784 Na
0.774 0.265 0.989 O
0.220 0.225 0.543 O
0.702 0.470 0.670 O
0.310 0.011 0.789 O
0.310 0.789 0.011 O
0.007 0.327 0.799 O
0.477 0.489 0.005 O
0.967 0.462 0.462 O
0.220 0.543 0.225 O
0.007 0.799 0.327 O
0.702 0.670 0.470 O
0.549 0.730 0.730 O
0.477 0.005 0.489 O
0.379 0.184 0.184 O
0.774 0.989 0.265 O
0.008 0.294 0.999 In
0.061 0.055 0.055 In
0.259 0.951 0.951 In
0.757 0.712 0.712 In
0.008 0.999 0.294 In
```

Computed properties:
The volume is 16.38 Å³ per atom. As for the space-group type: Cm. As for the uncorrected formation energy: -1.229 eV/atom. As for the crystal system: monoclinic.

---

No. 7
A plane-wave DFT calculation with GGA-PBEsol was carried out for a relaxed structure of AlCu2Re.

```
AlCu2Re
1.0
-1.433 1.069 -1.923
-3.450 0.780 3.005
3.995 2.898 0.426
Cu Al Re
2 1 1
direct
0.747 0.159 0.494 Cu
0.001 0.084 0.003 Cu
0.254 0.677 0.509 Al
0.497 0.580 0.995 Re
```

Computed properties:
The volume is 12.91 Å³ per atom. As for the space-group type: Cm. For the formation energy, the calculation gives 0.01 eV/atom. As for the crystal system: monoclinic. The density of states at the Fermi level is 1.2 states/eV/f.u.

---

No. 8
A plane-wave DFT calculation with GGA-PBEsol was carried out for a relaxed structure of Ca2SbRu.

```
Ca2SbRu
1.0
3.464 0.000 0.000
0.000 4.108 0.000
0.000 0.000 6.166
Ru Ca Sb
1 2 1
direct
0.500 0.500 0.000 Ru
0.000 0.000 0.234 Ca
0.000 0.000 0.766 Ca
0.500 0.500 0.500 Sb
```

Computed properties:
The volume is 21.94 Å³ per atom. As for the space-group type: Pmmm. As for the uncorrected formation energy: -0.120 eV/atom. As for the crystal system: orthorhombic. The density of states at the Fermi level is 3.0 states/eV/f.u.

---

No. 9
A plane-wave DFT calculation with GGA-PBEsol was carried out for a relaxed structure of PRhSeN2.

```
PRhSeN2
1.0
3.328 0.000 0.000
0.000 3.328 0.000
0.000 0.000 6.932
Rh P Se N
1 1 1 2
direct
0.500 0.500 0.500 Rh
0.000 0.000 0.000 P
0.000 0.000 0.500 Se
0.500 0.000 0.000 N
0.000 0.500 0.000 N
```

Computed properties:
The volume is 15.35 Å³ per atom. As for the space-group type: P4/mmm. As for the uncorrected formation energy: 0.796 eV/atom. As for the crystal system: tetragonal. The density of states at the Fermi level is 3.2 states/eV/f.u.

---

No. 10
A plane-wave DFT calculation with GGA-PBEsol was carried out for a relaxed structure of Ta3Cu.

```
Ta3Cu
1.0
2.761 -0.009 0.000
-0.623 2.690 0.000
0.000 0.000 8.727
Ta Cu
3 1
direct
0.000 0.000 0.500 Ta
0.500 0.500 0.233 Ta
0.500 0.500 0.767 Ta
0.000 0.000 0.000 Cu
```

Computed properties:
The volume is 16.19 Å³ per atom. As for the space-group type: Cmmm. For the formation energy, the calculation gives 0.06 eV/atom. As for the crystal system: orthorhombic. The density of states at the Fermi level is 3.5 states/eV/f.u.

---

No. 11
A plane-wave DFT calculation with GGA-PBEsol was carried out for a relaxed structure of YNi2Sb.

```
YNi2Sb
1.0
3.638 0.000 0.000
0.000 4.297 0.000
0.000 0.000 4.300
Ni Sb Y
2 1 1
direct
0.000 0.500 0.500 Ni
0.000 0.000 0.000 Ni
0.500 0.500 0.000 Sb
0.500 0.000 0.500 Y
```

Computed properties:
The volume is 16.80 Å³ per atom. As for the space-group type: P4/mmm. As for the uncorrected formation energy: -0.372 eV/atom. As for the crystal system: tetragonal. The density of states at the Fermi level is 2.3 states/eV/f.u.

---

No. 12
A plane-wave DFT calculation with GGA-PBEsol was carried out for a relaxed structure of ZrS2Br.

```
ZrS2Br
1.0
-5.660 -0.374 -3.783
-0.455 -0.785 6.902
-2.829 4.947 3.743
S Br Zr
4 2 2
direct
0.375 0.250 0.041 S
0.875 0.250 0.709 S
0.041 0.750 0.875 S
0.709 0.750 0.375 S
0.250 0.500 0.250 Br
0.500 0.000 0.500 Br
0.750 0.500 0.750 Zr
0.000 0.000 0.000 Zr
```

Computed properties:
The volume is 29.18 Å³ per atom. As for the space-group type: I-42d. As for the uncorrected formation energy: -0.599 eV/atom. As for the crystal system: tetragonal. The density of states at the Fermi level is 5.3 states/eV/f.u.